No. 1
# Tb2HfH8 (PBE-GGA, relaxed)
data_Tb2HfH8
_cell_length_a 3.5544
_cell_length_b 4.4990
_cell_length_c 12.8237
_cell_angle_alpha 90.00
_cell_angle_beta 90.00
_cell_angle_gamma 90.00
_symmetry_space_group_name_H-M 'I m m m'
_symmetry_Int_Tables_number 71
_symmetry_space_group_name_Hall '-I 2 2'
loop_
_atom_site_label
_atom_site_fract_x
_atom_site_fract_y
_atom_site_fract_z
_atom_site_occupancy
Tb1 0.0000 0.0000 0.1584 1
Hf1 0.0000 0.0000 0.5000 1
H1 0.0000 0.2414 0.3731 1
H2 0.0000 0.2582 0.0000 1
H3 0.0000 0.5000 0.2301 1
# E_tot: -103.31 eV/cell
# total moment: 0.00 μB/f.u.



No. 2
# MgScNi10 (PBE-GGA, relaxed)
data_MgScNi10
_cell_length_a 3.9787
_cell_length_b 4.7402
_cell_length_c 8.1728
_cell_angle_alpha 90.00
_cell_angle_beta 90.00
_cell_angle_gamma 90.00
_symmetry_space_group_name_H-M 'P m m m'
_symmetry_Int_Tables_number 47
loop_
_symmetry_equiv_pos_as_xyz
'x,y,z'
'-x,-y,-z'
'-x,-y,z'
'x,y,-z'
'x,-y,-z'
'-x,y,z'
'-x,y,-z'
'x,-y,z'
loop_
_atom_site_label
_atom_site_fract_x
_atom_site_fract_y
_atom_site_fract_z
_atom_site_occupancy
Mg1 0.0000 0.0000 0.0000 1
Sc1 0.0000 0.5000 0.5000 1
Ni1 0.0000 0.0000 0.3327 1
Ni2 0.0000 0.5000 0.1665 1
Ni3 0.5000 0.0000 0.5000 1
Ni4 0.5000 0.2507 0.2508 1
Ni5 0.5000 0.5000 0.0000 1
# ΔE_f: -150 meV per atom
# total moment: 3.33 μB/f.u.